## w
Density functional theory data (PBE) for InTcF after structural relaxation.

Lattice parameters (Å, degrees): 5.027 2.944 7.041 90.00 95.04 90.00
Positions (direct):
1 F 0.814 0.500 0.497
2 F 0.649 0.000 0.159
3 Tc 0.066 0.000 0.642
4 Tc 0.957 0.000 0.939
5 In 0.281 0.500 0.247
6 In 0.506 0.500 0.791

**M_tot**: 0.00 μB per formula unit
**Symmetry**: Pm, No. 6

---

## x
Density functional theory data (PBE) for InTcF after structural relaxation.

Lattice parameters (Å, degrees): 2.887 5.117 6.863 100.45 90.17 90.09
Positions (direct):
1 F 0.237 0.176 0.518
2 F 0.731 0.261 0.207
3 Tc 0.738 0.489 0.538
4 Tc 0.739 0.682 0.851
5 In 0.239 0.755 0.261
6 In 0.239 0.185 0.901

**M_tot**: 0.14 μB per formula unit
**Symmetry**: P1, No. 1

---

## y
Density functional theory data (PBE) for InTcF after structural relaxation.

Lattice parameters (Å, degrees): 4.848 3.069 15.400 90.00 106.74 90.00
Positions (direct):
1 F 0.381 0.000 0.549
2 F 0.381 0.500 0.049
3 F 0.889 0.000 0.025
4 F 0.889 0.500 0.525
5 Tc 0.874 0.000 0.804
6 Tc 0.874 0.500 0.304
7 Tc 0.020 0.000 0.430
8 Tc 0.020 0.500 0.930
9 In 0.398 0.000 0.324
10 In 0.398 0.500 0.824
11 In 0.713 0.000 0.142
12 In 0.713 0.500 0.642

**M_tot**: 0.00 μB per formula unit
**Symmetry**: Cm, No. 8

---

## z
Density functional theory data (PBE) for InTcF after structural relaxation.

Lattice parameters (Å, degrees): 3.101 5.505 6.523 74.62 80.58 76.74
Positions (direct):
1 F 0.258 0.953 0.366
2 F 0.165 0.780 0.067
3 Tc 0.612 0.337 0.762
4 Tc 0.102 0.165 0.030
5 In 0.313 0.398 0.344
6 In 0.903 0.817 0.707

**M_tot**: 0.00 μB per formula unit
**Symmetry**: P1, No. 1

---

On energetic grounds, y is preferred over the next structure by 28 meV/atom.

---

## w
Density functional theory data (PBE) for InTc3F after structural relaxation.

Lattice parameters (Å, degrees): 4.266 4.266 4.266 90.00 90.00 90.00
Positions (direct):
1 F 0.000 0.000 0.000
2 Tc 0.000 0.500 0.000
3 Tc 0.000 0.000 0.500
4 Tc 0.500 0.000 0.000
5 In 0.500 0.500 0.500

**M_tot**: 2.96 μB per formula unit
**Symmetry**: Pm-3m, No. 221

---

## x
Density functional theory data (PBE) for InTc3F after structural relaxation.

Lattice parameters (Å, degrees): 5.187 5.187 5.187 90.00 90.00 90.00
Positions (direct):
1 F 0.500 0.500 0.500
2 Tc 0.000 0.500 0.000
3 Tc 0.000 0.000 0.500
4 Tc 0.500 0.000 0.000
5 In 0.000 0.000 0.000

**M_tot**: 10.70 μB per formula unit
**Symmetry**: Pm-3m, No. 221

---

On energetic grounds, w is preferred over the next structure by 1426 meV/atom.

---

## w
Density functional theory data (PBE) for In2TeF after structural relaxation.

Lattice parameters (Å, degrees): 5.355 5.355 8.770 72.22 72.22 90.00
Positions (direct):
1 F 0.500 0.500 0.000
2 F 0.250 0.750 0.500
3 Te 0.000 0.000 0.000
4 Te 0.750 0.250 0.500
5 In 0.521 0.125 0.250
6 In 0.229 0.625 0.250
7 In 0.375 0.479 0.750
8 In 0.875 0.771 0.750

**M_tot**: 0.00 μB per formula unit
**Symmetry**: I-42d, No. 122

---

## x
Density functional theory data (PBE) for In2TeF after structural relaxation.

Lattice parameters (Å, degrees): 5.315 5.315 7.062 67.90 67.90 60.00
Positions (direct):
1 F 0.000 0.000 0.000
2 Te 0.500 0.500 0.500
3 In 0.115 0.115 0.654
4 In 0.885 0.885 0.346

**M_tot**: 0.00 μB per formula unit
**Symmetry**: R-3m, No. 166

---

On energetic grounds, x is preferred over the next structure by 26 meV/atom.

---

## w
Density functional theory data (PBE) for InTe3F after structural relaxation.

Lattice parameters (Å, degrees): 5.595 5.595 5.595 90.00 90.00 90.00
Positions (direct):
1 F 0.500 0.500 0.500
2 Te 0.000 0.500 0.000
3 Te 0.000 0.000 0.500
4 Te 0.500 0.000 0.000
5 In 0.000 0.000 0.000

**M_tot**: 0.00 μB per formula unit
**Symmetry**: Pm-3m, No. 221

---

## x
Density functional theory data (PBE) for InTe3F after structural relaxation.

Lattice parameters (Å, degrees): 5.066 5.066 5.066 90.00 90.00 90.00
Positions (direct):
1 F 0.000 0.000 0.000
2 Te 0.000 0.500 0.000
3 Te 0.000 0.000 0.500
4 Te 0.500 0.000 0.000
5 In 0.500 0.500 0.500

**M_tot**: 0.00 μB per formula unit
**Symmetry**: Pm-3m, No. 221

---

On energetic grounds, x is preferred over the next structure by 475 meV/atom.

---

## w
Density functional theory data (PBE) for Ti3InF after structural relaxation.

Lattice parameters (Å, degrees): 5.210 5.210 5.210 90.00 90.00 90.00
Positions (direct):
1 F 0.500 0.500 0.500
2 Ti 0.000 0.500 0.000
3 Ti 0.000 0.000 0.500
4 Ti 0.500 0.000 0.000
5 In 0.000 0.000 0.000

**M_tot**: 6.02 μB per formula unit
**Symmetry**: Pm-3m, No. 221

---

## x
Density functional theory data (PBE) for Ti3InF after structural relaxation.

Lattice parameters (Å, degrees): 4.287 4.287 4.287 90.00 90.00 90.00
Positions (direct):
1 F 0.000 0.000 0.000
2 Ti 0.000 0.500 0.000
3 Ti 0.000 0.000 0.500
4 Ti 0.500 0.000 0.000
5 In 0.500 0.500 0.500

**M_tot**: 1.09 μB per formula unit
**Symmetry**: Pm-3m, No. 221

---

On energetic grounds, x is preferred over the next structure by 1593 meV/atom.

---

## w
Density functional theory data (PBE) for TlIn3F after structural relaxation.

Lattice parameters (Å, degrees): 5.133 5.133 5.133 90.00 90.00 90.00
Positions (direct):
1 Tl 0.500 0.500 0.500
2 F 0.000 0.000 0.000
3 In 0.000 0.500 0.000
4 In 0.000 0.000 0.500
5 In 0.500 0.000 0.000

**M_tot**: 0.00 μB per formula unit
**Symmetry**: Pm-3m, No. 221

---

## x
Density functional theory data (PBE) for TlIn3F after structural relaxation.

Lattice parameters (Å, degrees): 5.837 5.837 5.837 90.00 90.00 90.00
Positions (direct):
1 Tl 0.000 0.000 0.000
2 F 0.500 0.500 0.500
3 In 0.000 0.500 0.000
4 In 0.000 0.000 0.500
5 In 0.500 0.000 0.000

**M_tot**: 0.00 μB per formula unit
**Symmetry**: Pm-3m, No. 221

---

On energetic grounds, w is preferred over the next structure by 559 meV/atom.

---

## w
Density functional theory data (PBE) for TlInF after structural relaxation.

Lattice parameters (Å, degrees): 6.864 3.238 7.857 101.89 115.90 90.00
Positions (direct):
1 F 0.603 0.103 0.205
2 F 0.397 0.897 0.795
3 Tl 0.755 0.500 0.000
4 Tl 0.245 0.500 0.000
5 In 0.233 0.733 0.467
6 In 0.767 0.267 0.533

**M_tot**: 0.00 μB per formula unit
**Symmetry**: Immm, No. 71

---

## x
Density functional theory data (PBE) for TlInF after structural relaxation.

Lattice parameters (Å, degrees): 4.505 4.505 5.785 112.91 112.91 90.00
Positions (direct):
1 Tl 0.043 0.043 0.085
2 In 0.515 0.515 0.031
3 F 0.292 0.292 0.584

**M_tot**: 0.00 μB per formula unit
**Symmetry**: I4mm, No. 107

---

## y
Density functional theory data (PBE) for TlInF after structural relaxation.

Lattice parameters (Å, degrees): 3.439 3.439 6.870 90.00 90.00 120.00
Positions (direct):
1 Tl 0.000 0.000 0.022
2 F 0.667 0.333 0.379
3 In 0.333 0.667 0.599

**M_tot**: 0.00 μB per formula unit
**Symmetry**: P3m1, No. 156

---

On energetic grounds, y is preferred over the next structure by 21 meV/atom.

---

## w
Density functional theory data (PBE) for Tl2InF5 after structural relaxation.

Lattice parameters (Å, degrees): 6.546 6.546 6.470 120.39 120.39 90.00
Positions (direct):
1 Tl 0.193 0.693 0.386
2 Tl 0.693 0.193 0.386
3 In 0.976 0.976 0.952
4 F 0.825 0.256 0.081
5 F 0.256 0.256 0.081
6 F 0.825 0.825 0.081
7 F 0.256 0.825 0.081
8 F 0.753 0.753 0.507

**M_tot**: 0.00 μB per formula unit
**Symmetry**: I4mm, No. 107

---

## x
Density functional theory data (PBE) for Tl2InF5 after structural relaxation.

Lattice parameters (Å, degrees): 6.896 7.306 11.412 90.00 90.00 90.00
Positions (direct):
1 Tl 0.464 0.503 0.831
2 Tl 0.536 0.497 0.169
3 Tl 0.964 0.497 0.669
4 Tl 0.536 0.003 0.169
5 Tl 0.036 0.503 0.331
6 Tl 0.464 0.997 0.831
7 Tl 0.036 0.997 0.331
8 Tl 0.964 0.003 0.669
9 In 0.444 0.250 0.501
10 In 0.556 0.750 0.499
11 In 0.944 0.750 0.999
12 In 0.056 0.250 0.001
13 F 0.135 0.250 0.520
14 F 0.865 0.750 0.480
15 F 0.635 0.750 0.980
16 F 0.365 0.250 0.020
17 F 0.350 0.957 0.561
18 F 0.650 0.043 0.439
19 F 0.850 0.043 0.939
20 F 0.650 0.457 0.439
21 F 0.150 0.957 0.061
22 F 0.350 0.543 0.561
23 F 0.150 0.543 0.061
24 F 0.850 0.457 0.939
25 F 0.143 0.250 0.822
26 F 0.857 0.750 0.178
27 F 0.643 0.750 0.678
28 F 0.357 0.250 0.322
29 F 0.591 0.250 0.662
30 F 0.409 0.750 0.338
31 F 0.091 0.750 0.838
32 F 0.909 0.250 0.162

**M_tot**: 0.00 μB per formula unit
**Symmetry**: Pnma, No. 62

---

On energetic grounds, x is preferred over the next structure by 64 meV/atom.